Material: Mg2CdGa3
Method: DFT, PBE
State: relaxed

```
Mg2CdGa3
1.0
8.036 0.000 0.000
0.000 3.090 0.000
0.000 0.000 19.215
Mg Cd Ga
8 4 12
direct
0.179 0.250 0.202 Mg
0.236 0.250 0.424 Mg
0.264 0.750 0.924 Mg
0.321 0.750 0.702 Mg
0.679 0.250 0.298 Mg
0.736 0.250 0.076 Mg
0.764 0.750 0.576 Mg
0.821 0.750 0.798 Mg
0.070 0.750 0.066 Cd
0.430 0.250 0.566 Cd
0.570 0.750 0.434 Cd
0.930 0.250 0.934 Cd
0.006 0.750 0.328 Ga
0.114 0.750 0.551 Ga
0.136 0.250 0.806 Ga
0.364 0.750 0.306 Ga
0.386 0.250 0.051 Ga
0.494 0.250 0.828 Ga
0.506 0.750 0.172 Ga
0.614 0.750 0.949 Ga
0.636 0.250 0.694 Ga
0.864 0.750 0.194 Ga
0.886 0.250 0.449 Ga
0.994 0.250 0.672 Ga
```

Output
space-group type = Pnma
offset from the most stable computed form = 0.000 eV per atom
Fermi-level density of states = 0.411 states/eV/atom
formation enthalpy at 0 K = -0.084 eV per atom

Material: CaNd2Cl8
Method: DFT, PBE
State: relaxed

```
CaNd2Cl8
1.0
10.667 -2.022 0.000
10.667 2.022 0.000
-1.168 0.000 7.904
Ca Nd Cl
1 2 8
direct
0.000 0.000 0.000 Ca
0.342 0.342 0.664 Nd
0.658 0.658 0.336 Nd
0.114 0.114 0.519 Cl
0.131 0.131 0.068 Cl
0.257 0.257 0.334 Cl
0.481 0.481 0.768 Cl
0.519 0.519 0.232 Cl
0.743 0.743 0.666 Cl
0.869 0.869 0.932 Cl
0.886 0.886 0.481 Cl
```

Output
space-group type = C2/m
electronic total energy = -51.605 eV for the cell shown
Fermi-level density of states = 0.000 states/eV/atom

Material: Nd2ThTe
Method: DFT, PBE
State: relaxed

```
Nd2ThTe
1.0
1.952 1.127 10.048
-1.952 1.127 10.048
0.000 -2.254 10.048
Nd Th Te
2 1 1
direct
0.240 0.240 0.240 Nd
0.760 0.760 0.760 Nd
0.000 0.000 0.000 Th
0.500 0.500 0.500 Te
```

Output
space-group type = R-3m
offset from the most stable computed form = 0.035 eV per atom
Fermi-level density of states = 0.663 states/eV/atom